Compound: Li3ICl
Source: Alexandria
Functional: PBE-GGA
Structure: optimized geometry

Geometry as extended XYZ:
```
5
Lattice="-0.883 -1.505 4.998 -2.126 -4.525 -1.738 4.766 -2.298 0.151" Properties=species:S:1:pos:R:3 pbc="T T T"
Li -1.063 -2.263 -0.869
Li -0.442 -0.752 2.499
Li 2.383 -1.149 0.075
Cl 0.878 -4.164 1.705
I 0.000 0.000 0.000
```

calculated total energy: -12.13 eV for the cell shown
mass density: 2.051 g cm⁻³
energy above the lowest structure with this stoichiometry: 0.299 eV/atom
formation energy without anion corrections: -0.597 eV/atom